DFT (PBE) results for a geometry-optimized Tb2DyTm6 structure.

* density of states at the Fermi level: 1.203 states/eV per atom
* size of the total moment: 0.000 μB per formula unit
* crystal system: monoclinic
* formation energy from the elements: 0.1065 eV/atom

Cell lengths 6.457, 9.425, 9.425 Å; angles 95.85, 80.91, 80.91 degrees
Positions (direct):
Tb: 0.129 0.617 0.666
Tb: 0.371 0.334 0.383
Tb: 0.871 0.383 0.334
Tb: 0.629 0.666 0.617
Dy: 0.250 0.120 0.880
Dy: 0.750 0.880 0.120
Tm: 0.503 0.650 0.277
Tm: 0.997 0.723 0.350
Tm: 0.497 0.350 0.723
Tm: 0.003 0.277 0.650
Tm: 0.730 0.060 0.461
Tm: 0.770 0.539 0.940
Tm: 0.270 0.940 0.539
Tm: 0.230 0.461 0.060
Tm: 0.315 0.779 0.954
Tm: 0.185 0.046 0.221
Tm: 0.685 0.221 0.046
Tm: 0.815 0.954 0.779